(1)
Below is a relaxed structure of PmNdHo2Sc, with properties calculated at the PBE level.

Computed properties:
Formation energy from the elements, eV per formula unit: 0.23
Density, g cm⁻³: 7.09
M_tot, μB/f.u.: 0.0
Space group: P2_1/m, No. 11

CIF file:
```
data_PmNdHo2Sc
_symmetry_space_group_name_H-M 'P 1'
_symmetry_Int_Tables_number 1
_cell_length_a 7.866
_cell_length_b 5.012
_cell_length_c 7.892
_cell_angle_alpha 90.00
_cell_angle_beta 90.16
_cell_angle_gamma 90.00
loop_
_symmetry_equiv_pos_as_xyz
'x,y,z'
loop_
_atom_site_label
_atom_site_type_symbol
_atom_site_fract_x
_atom_site_fract_y
_atom_site_fract_z
_atom_site_occupancy
Pm1 Pm 0.055 0.250 0.347 1
Pm2 Pm 0.945 0.750 0.653 1
Nd1 Nd 0.256 0.250 0.759 1
Nd2 Nd 0.744 0.750 0.241 1
Ho1 Ho 0.160 0.750 0.052 1
Ho2 Ho 0.354 0.750 0.453 1
Ho3 Ho 0.646 0.250 0.547 1
Ho4 Ho 0.840 0.250 0.948 1
Sc1 Sc 0.453 0.250 0.149 1
Sc2 Sc 0.547 0.750 0.851 1
```

(2)
Below is a relaxed structure of Pm2NdHoSe4, with properties calculated at the PBE level.

Computed properties:
Density, g cm⁻³: 7.40
M_tot, μB/f.u.: 0.0
Uncorrected formation energy, meV per atom: -1802.5
Space group: P2/m, No. 10

CIF file:
```
data_Pm2NdHoSe4
_symmetry_space_group_name_H-M 'P 1'
_symmetry_Int_Tables_number 1
_cell_length_a 7.228
_cell_length_b 4.114
_cell_length_c 7.294
_cell_angle_alpha 90.00
_cell_angle_beta 108.78
_cell_angle_gamma 90.00
loop_
_symmetry_equiv_pos_as_xyz
'x,y,z'
loop_
_atom_site_label
_atom_site_type_symbol
_atom_site_fract_x
_atom_site_fract_y
_atom_site_fract_z
_atom_site_occupancy
Pm1 Pm 0.000 0.000 0.000 1
Pm2 Pm 0.000 0.500 0.500 1
Nd1 Nd 0.500 0.000 0.500 1
Ho1 Ho 0.500 0.500 0.000 1
Se1 Se 0.253 0.500 0.243 1
Se2 Se 0.258 0.000 0.760 1
Se3 Se 0.742 0.000 0.240 1
Se4 Se 0.747 0.500 0.757 1
```

(3)
Below is a relaxed structure of Pm2NdHo3Se6, with properties calculated at the PBE level.

Computed properties:
Density, g cm⁻³: 7.78
M_tot, μB/f.u.: 0.0
Uncorrected formation energy, meV per atom: -1785.6
Space group: C2/m, No. 12

CIF file:
```
data_Pm2NdHo3Se6
_symmetry_space_group_name_H-M 'P 1'
_symmetry_Int_Tables_number 1
_cell_length_a 7.107
_cell_length_b 7.107
_cell_length_c 7.261
_cell_angle_alpha 99.37
_cell_angle_beta 99.37
_cell_angle_gamma 120.29
loop_
_symmetry_equiv_pos_as_xyz
'x,y,z'
loop_
_atom_site_label
_atom_site_type_symbol
_atom_site_fract_x
_atom_site_fract_y
_atom_site_fract_z
_atom_site_occupancy
Pm1 Pm 0.166 0.834 0.000 1
Pm2 Pm 0.834 0.166 0.000 1
Nd1 Nd 0.500 0.500 0.000 1
Ho1 Ho 0.000 0.000 0.500 1
Ho2 Ho 0.334 0.666 0.500 1
Ho3 Ho 0.666 0.334 0.500 1
Se1 Se 0.077 0.412 0.735 1
Se2 Se 0.253 0.253 0.264 1
Se3 Se 0.412 0.077 0.735 1
Se4 Se 0.588 0.923 0.265 1
Se5 Se 0.747 0.747 0.736 1
Se6 Se 0.923 0.588 0.265 1
```

(4)
Below is a relaxed structure of PmNd4Ho3Se8, with properties calculated at the PBE level.

Computed properties:
Density, g cm⁻³: 7.52
M_tot, μB/f.u.: 0.0
Uncorrected formation energy, meV per atom: -1792.8
Space group: R-3m, No. 166

CIF file:
```
data_PmNd4Ho3Se8
_symmetry_space_group_name_H-M 'P 1'
_symmetry_Int_Tables_number 1
_cell_length_a 8.397
_cell_length_b 8.397
_cell_length_c 8.397
_cell_angle_alpha 58.90
_cell_angle_beta 58.90
_cell_angle_gamma 58.90
loop_
_symmetry_equiv_pos_as_xyz
'x,y,z'
loop_
_atom_site_label
_atom_site_type_symbol
_atom_site_fract_x
_atom_site_fract_y
_atom_site_fract_z
_atom_site_occupancy
Pm1 Pm 0.000 0.000 0.000 1
Nd1 Nd 0.000 0.000 0.500 1
Nd2 Nd 0.000 0.500 0.000 1
Nd3 Nd 0.500 0.000 0.000 1
Nd4 Nd 0.500 0.500 0.500 1
Ho1 Ho 0.000 0.500 0.500 1
Ho2 Ho 0.500 0.000 0.500 1
Ho3 Ho 0.500 0.500 0.000 1
Se1 Se 0.249 0.249 0.740 1
Se2 Se 0.249 0.740 0.249 1
Se3 Se 0.256 0.256 0.256 1
Se4 Se 0.260 0.751 0.751 1
Se5 Se 0.740 0.249 0.249 1
Se6 Se 0.744 0.744 0.744 1
Se7 Se 0.751 0.260 0.751 1
Se8 Se 0.751 0.751 0.260 1
```

(5)
Below is a relaxed structure of Pm2NdHoSe5, with properties calculated at the PBE level.

Computed properties:
Density, g cm⁻³: 5.72
M_tot, μB/f.u.: 0.0
Uncorrected formation energy, meV per atom: -1267.4
Space group: P4/mmm, No. 123

CIF file:
```
data_Pm2NdHoSe5
_symmetry_space_group_name_H-M 'P 1'
_symmetry_Int_Tables_number 1
_cell_length_a 5.126
_cell_length_b 5.126
_cell_length_c 10.989
_cell_angle_alpha 90.00
_cell_angle_beta 90.00
_cell_angle_gamma 90.00
loop_
_symmetry_equiv_pos_as_xyz
'x,y,z'
loop_
_atom_site_label
_atom_site_type_symbol
_atom_site_fract_x
_atom_site_fract_y
_atom_site_fract_z
_atom_site_occupancy
Pm1 Pm 0.000 0.000 0.166 1
Pm2 Pm 0.000 0.000 0.834 1
Nd1 Nd 0.500 0.500 0.500 1
Ho1 Ho 0.500 0.500 0.000 1
Se1 Se 0.000 0.000 0.500 1
Se2 Se 0.000 0.500 0.000 1
Se3 Se 0.500 0.000 0.000 1
Se4 Se 0.500 0.500 0.249 1
Se5 Se 0.500 0.500 0.751 1
```

(6)
Below is a relaxed structure of PmNd4HoSe8, with properties calculated at the PBE level.

Computed properties:
Density, g cm⁻³: 5.52
M_tot, μB/f.u.: 0.0
Uncorrected formation energy, meV per atom: -1725.0
Space group: R3m, No. 160

CIF file:
```
data_PmNd4HoSe8
_symmetry_space_group_name_H-M 'P 1'
_symmetry_Int_Tables_number 1
_cell_length_a 8.641
_cell_length_b 8.641
_cell_length_c 8.641
_cell_angle_alpha 60.05
_cell_angle_beta 60.05
_cell_angle_gamma 60.05
loop_
_symmetry_equiv_pos_as_xyz
'x,y,z'
loop_
_atom_site_label
_atom_site_type_symbol
_atom_site_fract_x
_atom_site_fract_y
_atom_site_fract_z
_atom_site_occupancy
Pm1 Pm 0.000 0.000 0.000 1
Nd1 Nd 0.000 0.000 0.493 1
Nd2 Nd 0.000 0.493 0.000 1
Nd3 Nd 0.493 0.000 0.000 1
Nd4 Nd 0.623 0.623 0.623 1
Ho1 Ho 0.373 0.373 0.373 1
Se1 Se 0.223 0.758 0.758 1
Se2 Se 0.244 0.244 0.759 1
Se3 Se 0.244 0.759 0.244 1
Se4 Se 0.245 0.245 0.245 1
Se5 Se 0.756 0.756 0.756 1
Se6 Se 0.758 0.223 0.758 1
Se7 Se 0.758 0.758 0.223 1
Se8 Se 0.759 0.244 0.244 1
```

(7)
Below is a relaxed structure of Pm4NdHoSe8, with properties calculated at the PBE level.

Computed properties:
Density, g cm⁻³: 5.59
M_tot, μB/f.u.: 0.0
Uncorrected formation energy, meV per atom: -1727.5
Space group: R3m, No. 160

CIF file:
```
data_Pm4NdHoSe8
_symmetry_space_group_name_H-M 'P 1'
_symmetry_Int_Tables_number 1
_cell_length_a 8.616
_cell_length_b 8.616
_cell_length_c 8.616
_cell_angle_alpha 59.95
_cell_angle_beta 59.95
_cell_angle_gamma 59.95
loop_
_symmetry_equiv_pos_as_xyz
'x,y,z'
loop_
_atom_site_label
_atom_site_type_symbol
_atom_site_fract_x
_atom_site_fract_y
_atom_site_fract_z
_atom_site_occupancy
Pm1 Pm 0.000 0.000 0.000 1
Pm2 Pm 0.376 0.376 0.871 1
Pm3 Pm 0.376 0.871 0.376 1
Pm4 Pm 0.871 0.376 0.376 1
Nd1 Nd 0.376 0.376 0.376 1
Ho1 Ho 0.750 0.750 0.750 1
Se1 Se 0.132 0.132 0.601 1
Se2 Se 0.132 0.601 0.132 1
Se3 Se 0.133 0.133 0.133 1
Se4 Se 0.137 0.622 0.622 1
Se5 Se 0.601 0.132 0.132 1
Se6 Se 0.620 0.620 0.620 1
Se7 Se 0.622 0.137 0.622 1
Se8 Se 0.622 0.622 0.137 1
```

(8)
Below is a relaxed structure of Pm3NdHo2Se6, with properties calculated at the PBE level.

Computed properties:
Density, g cm⁻³: 7.54
M_tot, μB/f.u.: 0.0
Uncorrected formation energy, meV per atom: -1800.9
Space group: C2/m, No. 12

CIF file:
```
data_Pm3NdHo2Se6
_symmetry_space_group_name_H-M 'P 1'
_symmetry_Int_Tables_number 1
_cell_length_a 7.192
_cell_length_b 7.192
_cell_length_c 7.222
_cell_angle_alpha 99.52
_cell_angle_beta 99.52
_cell_angle_gamma 120.23
loop_
_symmetry_equiv_pos_as_xyz
'x,y,z'
loop_
_atom_site_label
_atom_site_type_symbol
_atom_site_fract_x
_atom_site_fract_y
_atom_site_fract_z
_atom_site_occupancy
Pm1 Pm 0.000 0.000 0.000 1
Pm2 Pm 0.340 0.660 0.000 1
Pm3 Pm 0.660 0.340 0.000 1
Nd1 Nd 0.500 0.500 0.500 1
Ho1 Ho 0.166 0.834 0.500 1
Ho2 Ho 0.834 0.166 0.500 1
Se1 Se 0.075 0.419 0.256 1
Se2 Se 0.236 0.236 0.738 1
Se3 Se 0.419 0.075 0.256 1
Se4 Se 0.581 0.925 0.744 1
Se5 Se 0.764 0.764 0.262 1
Se6 Se 0.925 0.581 0.744 1
```

(9)
Below is a relaxed structure of PmNdHo4Se8, with properties calculated at the PBE level.

Computed properties:
Density, g cm⁻³: 6.10
M_tot, μB/f.u.: 0.0
Uncorrected formation energy, meV per atom: -1711.2
Space group: R3m, No. 160

CIF file:
```
data_PmNdHo4Se8
_symmetry_space_group_name_H-M 'P 1'
_symmetry_Int_Tables_number 1
_cell_length_a 8.505
_cell_length_b 8.505
_cell_length_c 8.505
_cell_angle_alpha 59.55
_cell_angle_beta 59.55
_cell_angle_gamma 59.55
loop_
_symmetry_equiv_pos_as_xyz
'x,y,z'
loop_
_atom_site_label
_atom_site_type_symbol
_atom_site_fract_x
_atom_site_fract_y
_atom_site_fract_z
_atom_site_occupancy
Pm1 Pm 0.000 0.000 0.000 1
Nd1 Nd 0.626 0.626 0.626 1
Ho1 Ho 0.000 0.000 0.497 1
Ho2 Ho 0.000 0.497 0.000 1
Ho3 Ho 0.373 0.373 0.373 1
Ho4 Ho 0.497 0.000 0.000 1
Se1 Se 0.220 0.754 0.754 1
Se2 Se 0.242 0.242 0.242 1
Se3 Se 0.248 0.248 0.767 1
Se4 Se 0.248 0.767 0.248 1
Se5 Se 0.754 0.220 0.754 1
Se6 Se 0.754 0.754 0.220 1
Se7 Se 0.762 0.762 0.762 1
Se8 Se 0.767 0.248 0.248 1
```

(10)
Below is a relaxed structure of PmNd2HoSe6, with properties calculated at the PBE level.

Computed properties:
Density, g cm⁻³: 5.72
M_tot, μB/f.u.: 0.0
Uncorrected formation energy, meV per atom: -1840.8
Space group: R3, No. 146

CIF file:
```
data_PmNd2HoSe6
_symmetry_space_group_name_H-M 'P 1'
_symmetry_Int_Tables_number 1
_cell_length_a 7.836
_cell_length_b 7.836
_cell_length_c 7.836
_cell_angle_alpha 56.34
_cell_angle_beta 56.34
_cell_angle_gamma 56.34
loop_
_symmetry_equiv_pos_as_xyz
'x,y,z'
loop_
_atom_site_label
_atom_site_type_symbol
_atom_site_fract_x
_atom_site_fract_y
_atom_site_fract_z
_atom_site_occupancy
Pm1 Pm 0.000 0.000 0.000 1
Nd1 Nd 0.297 0.297 0.297 1
Nd2 Nd 0.799 0.799 0.799 1
Ho1 Ho 0.497 0.497 0.497 1
Se1 Se 0.109 0.702 0.394 1
Se2 Se 0.214 0.605 0.883 1
Se3 Se 0.394 0.109 0.702 1
Se4 Se 0.605 0.883 0.214 1
Se5 Se 0.702 0.394 0.109 1
Se6 Se 0.883 0.214 0.605 1
```

(11)
Below is a relaxed structure of PmNdSm5Ho2, with properties calculated at the PBE level.

Computed properties:
Formation energy from the elements, eV per formula unit: 1.35
Density, g cm⁻³: 7.41
M_tot, μB/f.u.: 0.0
Space group: Cmc2_1, No. 36

CIF file:
```
data_PmNdSm5Ho2
_symmetry_space_group_name_H-M 'P 1'
_symmetry_Int_Tables_number 1
_cell_length_a 10.514
_cell_length_b 10.514
_cell_length_c 10.669
_cell_angle_alpha 90.00
_cell_angle_beta 90.00
_cell_angle_gamma 148.62
loop_
_symmetry_equiv_pos_as_xyz
'x,y,z'
loop_
_atom_site_label
_atom_site_type_symbol
_atom_site_fract_x
_atom_site_fract_y
_atom_site_fract_z
_atom_site_occupancy
Pm1 Pm 0.201 0.799 0.500 1
Pm2 Pm 0.799 0.201 0.000 1
Nd1 Nd 0.415 0.585 0.939 1
Nd2 Nd 0.585 0.415 0.439 1
Sm1 Sm 0.017 0.983 0.513 1
Sm2 Sm 0.281 0.719 0.800 1
Sm3 Sm 0.298 0.702 0.195 1
Sm4 Sm 0.391 0.609 0.514 1
Sm5 Sm 0.478 0.522 0.228 1
Sm6 Sm 0.522 0.478 0.728 1
Sm7 Sm 0.609 0.391 0.014 1
Sm8 Sm 0.702 0.298 0.695 1
Sm9 Sm 0.719 0.281 0.300 1
Sm10 Sm 0.983 0.017 0.013 1
Ho1 Ho 0.112 0.888 0.223 1
Ho2 Ho 0.116 0.884 0.811 1
Ho3 Ho 0.884 0.116 0.311 1
Ho4 Ho 0.888 0.112 0.723 1
```

(12)
Below is a relaxed structure of PmNdSm2Ho4, with properties calculated at the PBE level.

Computed properties:
Formation energy from the elements, eV per formula unit: 3.33
Density, g cm⁻³: 7.71
M_tot, μB/f.u.: 3.1
Space group: Imma, No. 74

CIF file:
```
data_PmNdSm2Ho4
_symmetry_space_group_name_H-M 'P 1'
_symmetry_Int_Tables_number 1
_cell_length_a 9.539
_cell_length_b 9.539
_cell_length_c 9.539
_cell_angle_alpha 138.04
_cell_angle_beta 103.19
_cell_angle_gamma 91.61
loop_
_symmetry_equiv_pos_as_xyz
'x,y,z'
loop_
_atom_site_label
_atom_site_type_symbol
_atom_site_fract_x
_atom_site_fract_y
_atom_site_fract_z
_atom_site_occupancy
Pm1 Pm 0.500 0.000 0.000 1
Pm2 Pm 0.500 0.500 0.500 1
Nd1 Nd 0.000 0.000 0.000 1
Nd2 Nd 0.500 0.000 0.500 1
Sm1 Sm 0.000 0.000 0.500 1
Sm2 Sm 0.000 0.500 0.000 1
Sm3 Sm 0.000 0.500 0.500 1
Sm4 Sm 0.500 0.500 0.000 1
Ho1 Ho 0.249 0.750 0.500 1
Ho2 Ho 0.250 0.250 0.000 1
Ho3 Ho 0.250 0.250 0.501 1
Ho4 Ho 0.250 0.749 0.999 1
Ho5 Ho 0.750 0.251 0.001 1
Ho6 Ho 0.750 0.750 0.000 1
Ho7 Ho 0.750 0.750 0.499 1
Ho8 Ho 0.751 0.250 0.500 1
```